Entry 1:
BaNaHg2Bi (PBE-GGA, optimized geometry); magnetic moment = 0.00 μB/f.u.; ΔE_f = -0.473 eV per atom; calculated total energy = -10.1 eV for the cell shown; density of states at the Fermi level = 1.94 states/eV/cell
1.0
4.986 0.000 0.000
0.000 4.739 0.000
-2.493 -2.369 6.936
Ba Na Hg Bi
1 1 2 1
Cartesian
0.000 0.000 6.110
0.000 2.369 2.740
2.493 0.000 2.493
0.000 0.000 0.780
2.493 2.369 4.692

=====

Entry 2:
BaNaHg4Bi2 (PBE-GGA, optimized geometry); magnetic moment = 0.00 μB/f.u.; ΔE_f = -0.319 eV per atom; calculated total energy = -14.8 eV for the cell shown; density of states at the Fermi level = 4.13 states/eV/cell
1.0
-0.714 1.862 -5.088
-5.006 1.321 -1.749
-0.675 9.666 0.697
Ba Na Hg Bi
1 1 4 2
Cartesian
0.000 0.000 0.000
-3.197 6.424 -3.070
-2.769 9.416 -2.035
-5.238 6.544 -5.675
-1.156 6.305 -0.465
-3.625 3.433 -4.105
-4.809 9.549 -4.636
-1.586 3.300 -1.505

=====

Entry 3:
BaNa2HgBi2 (PBE-GGA, optimized geometry); magnetic moment = 0.00 μB/f.u.; ΔE_f = -0.502 eV per atom; calculated total energy = -31.3 eV for the cell shown; density of states at the Fermi level = 1.34 states/eV/cell
1.0
5.023 0.000 0.000
0.000 8.656 0.000
0.000 0.000 9.395
Ba Na Hg Bi
2 4 2 4
Cartesian
0.000 8.551 4.141
0.000 4.223 5.254
2.511 0.304 0.638
0.000 3.147 1.580
2.511 4.632 8.757
0.000 7.475 7.815
2.511 1.330 6.425
2.511 5.658 2.970
0.000 2.001 8.014
2.511 2.373 3.415
0.000 6.329 1.381
2.511 6.701 5.980